1.
Material: TlAg2SbF8
Method: DFT, PBE
State: relaxed

Cell: 4.841 5.417 8.467 Å, 90.86 81.61 106.02°
Fractional positions:
Tl  0.000  0.000  0.500
Ag  0.500  0.584  0.698
Ag  0.500  0.416  0.302
Sb  0.000  0.000  0.000
F  0.028  0.736  0.141
F  0.631  0.782  0.959
F  0.821  0.142  0.185
F  0.972  0.264  0.859
F  0.369  0.218  0.041
F  0.179  0.858  0.815
F  0.370  0.715  0.459
F  0.630  0.285  0.541

Summary:
Crystal system: triclinic
Formation energy without anion corrections (meV/atom): -1786

=====

2.
Material: LaSnB6C6
Method: DFT, PBE
State: relaxed

Cell: 4.901 4.901 4.901 Å, 90.00 90.00 90.00°
Fractional positions:
La  0.500  0.500  0.500
Sn  0.000  0.000  0.000
B  0.245  0.500  0.000
B  0.755  0.500  0.000
B  0.500  0.000  0.245
B  0.500  0.000  0.755
B  0.000  0.245  0.500
B  0.000  0.755  0.500
C  0.252  0.000  0.500
C  0.748  0.000  0.500
C  0.000  0.500  0.252
C  0.000  0.500  0.748
C  0.500  0.252  0.000
C  0.500  0.748  0.000

Summary:
Crystal system: cubic
ΔE_f (eV per atom): 0.29

=====

3.
Material: Cs3NaRu
Method: DFT, PBE
State: relaxed

Cell: 6.242 6.242 6.242 Å, 90.00 90.00 90.00°
Fractional positions:
Cs  0.000  0.500  0.000
Cs  0.000  0.000  0.500
Cs  0.500  0.000  0.000
Ru  0.000  0.000  0.000
Na  0.500  0.500  0.500

Summary:
Crystal system: cubic
Energy above the most stable polymorph in this dataset (kcal/mol of atoms): 0.000
ΔE_f (eV per atom): 0.81

=====

4.
Material: TmNiPd2
Method: DFT, PBE
State: relaxed

Cell: 3.943 4.055 4.055 Å, 90.00 90.00 90.00°
Last column: magnetic moment on the atom in μB.
Fractional positions:
Ni  0.500  0.000  0.000  0.39
Tm  0.500  0.500  0.500  -0.02
Pd  0.000  0.000  0.500  0.05
Pd  0.000  0.500  0.000  0.05

Summary:
Crystal system: tetragonal
Energy above the most stable polymorph in this dataset (kcal/mol of atoms): 0.000
ΔE_f (eV per atom): -0.69